The following is a PBE calculation of a relaxed structure of Pm3Nd3Zn2, from Alexandria via LeMat-Bulk.

extended XYZ file:
```
16
Lattice="5.204 0.000 0.000 -2.602 5.881 0.000 0.000 0.000 15.655" Properties=species:S:1:pos:R:3 pbc="T T T"
Pm 2.602 1.759 7.459
Pm 0.000 4.122 15.286
Pm 2.602 1.759 0.369
Pm 0.000 4.122 8.196
Pm 0.000 5.297 3.914
Pm 2.602 0.584 11.741
Nd 2.602 5.553 6.123
Nd 0.000 0.328 13.951
Nd 2.602 5.553 1.704
Nd 0.000 0.328 9.532
Nd 2.602 2.672 3.914
Nd 0.000 3.210 11.741
Zn 2.602 3.159 13.390
Zn 0.000 2.722 5.563
Zn 2.602 3.159 10.092
Zn 0.000 2.722 2.265
```

Summary:
ΔH_f (0 K) = -74 meV per atom
symmetry = Cmcm